Record 1
VASP calculation (PBE-GGA) on Li4MgBr after structural relaxation.

## Properties
Energy relative to the elements, uncorrected: -0.09 eV/atom

a b c (Å): 5.8087 5.8087 5.8087
angles (deg): 60.00 60.00 60.00
Last column: magnetic moment on the atom in μB.
Sites, in units of the cell vectors:
Li 0.3768 0.3768 0.3768  0.05
Li 0.8695 0.3768 0.3768  0.05
Li 0.3768 0.8695 0.3768  0.05
Li 0.3768 0.3768 0.8695  0.05
Mg 0.7500 0.7500 0.7500  0.00
Br 0.0000 0.0000 0.0000  0.06

=====

Record 2
VASP calculation (PBE-GGA) on Li2MgBr after structural relaxation.

## Properties
Energy relative to the elements, uncorrected: -0.43 eV/atom
Relative energy among the computed polymorphs: 0.177 eV per atom

a b c (Å): 6.7848 6.7848 6.7848
angles (deg): 146.60 146.60 47.95
Sites, in units of the cell vectors:
Br 0.7500 0.2500 0.5000
Mg 0.5000 0.5000 0.0000
Li 0.0000 0.0000 0.0000
Li 0.2500 0.7500 0.5000

=====

Record 3
VASP calculation (PBE-GGA) on Li2MgBr after structural relaxation.

## Properties
Energy relative to the elements, uncorrected: -0.43 eV/atom
Relative energy among the computed polymorphs: 0.187 eV per atom

a b c (Å): 3.8701 6.5590 3.9113
angles (deg): 90.00 90.00 90.00
Sites, in units of the cell vectors:
Li 0.0000 0.0000 0.0000
Li 0.5000 0.5000 0.0000
Mg 0.5000 0.0000 0.5000
Br 0.0000 0.5000 0.5000

=====

Record 4
VASP calculation (PBE-GGA) on LiMgBr3 after structural relaxation.

## Properties
Energy relative to the elements, uncorrected: -1.41 eV/atom
Relative energy among the computed polymorphs: 0.060 eV per atom

a b c (Å): 6.8899 7.6033 11.3629
angles (deg): 90.00 90.00 90.00
Sites, in units of the cell vectors:
Br 0.8524 0.4741 0.2500
Br 0.1589 0.7972 0.4344
Br 0.6476 0.9741 0.2500
Br 0.6589 0.7028 0.5656
Br 0.1476 0.5259 0.7500
Br 0.3524 0.0259 0.7500
Br 0.6589 0.7028 0.9344
Br 0.3411 0.2972 0.0656
Br 0.1589 0.7972 0.0656
Br 0.8411 0.2028 0.9344
Br 0.3411 0.2972 0.4344
Br 0.8411 0.2028 0.5656
Li 0.5000 0.0000 0.0000
Li 0.0000 0.5000 0.0000
Li 0.5000 0.0000 0.5000
Li 0.0000 0.5000 0.5000
Mg 0.4687 0.6940 0.7500
Mg 0.5313 0.3060 0.2500
Mg 0.9687 0.8060 0.2500
Mg 0.0313 0.1940 0.7500

=====

Record 5
VASP calculation (PBE-GGA) on LiMgBr2 after structural relaxation.

## Properties
Energy relative to the elements, uncorrected: -0.86 eV/atom
Relative energy among the computed polymorphs: 0.135 eV per atom

a b c (Å): 5.9111 5.9111 5.9111
angles (deg): 141.53 96.77 95.70
Last column: magnetic moment on the atom in μB.
Sites, in units of the cell vectors:
Li 0.7500 0.2500 0.5000  0.01
Br 0.9812 0.9812 0.0000  0.05
Br 0.5188 0.5188 0.0000  0.05
Mg 0.2500 0.7500 0.5000  0.12

=====

Record 6
VASP calculation (PBE-GGA) on LiMgBr2 after structural relaxation.

## Properties
Energy relative to the elements, uncorrected: -0.78 eV/atom
Relative energy among the computed polymorphs: 0.214 eV per atom

a b c (Å): 5.1372 5.1372 5.1372
angles (deg): 60.00 60.00 60.00
Sites, in units of the cell vectors:
Mg 0.5000 0.5000 0.5000
Li 0.0000 0.0000 0.0000
Br 0.2500 0.2500 0.2500
Br 0.7500 0.7500 0.7500

=====

Record 7
VASP calculation (PBE-GGA) on LiMgBr2 after structural relaxation.

## Properties
Energy relative to the elements, uncorrected: -0.91 eV/atom
Relative energy among the computed polymorphs: 0.087 eV per atom

a b c (Å): 4.0343 4.0343 8.0471
angles (deg): 90.00 90.00 124.34
Last column: magnetic moment on the atom in μB.
Sites, in units of the cell vectors:
Br 0.0000 0.0000 0.4765  0.05
Br 0.0000 0.0000 0.0235  0.05
Mg 0.5000 0.5000 0.7500  0.09
Li 0.5000 0.5000 0.2500  0.01

=====

Record 8
VASP calculation (PBE-GGA) on LiMgBr4 after structural relaxation.

## Properties
Energy relative to the elements, uncorrected: 0.05 eV/atom

a b c (Å): 6.5057 6.5057 6.5057
angles (deg): 60.00 60.00 60.00
Last column: magnetic moment on the atom in μB.
Sites, in units of the cell vectors:
Br 0.6252 0.1245 0.6252  0.43
Br 0.6252 0.6252 0.1245  0.43
Br 0.1245 0.6252 0.6252  0.43
Br 0.6252 0.6252 0.6252  0.43
Li 0.2500 0.2500 0.2500  0.00
Mg 0.0000 0.0000 0.0000  0.13

=====

Record 9
VASP calculation (PBE-GGA) on Li2MgBr after structural relaxation.

## Properties
Energy relative to the elements, uncorrected: -0.45 eV/atom
Relative energy among the computed polymorphs: 0.159 eV per atom

a b c (Å): 7.5388 7.5388 6.3786
angles (deg): 53.78 53.78 90.00
Sites, in units of the cell vectors:
Br 0.7500 0.2500 0.5000
Br 0.0000 0.0000 0.0000
Li 0.8750 0.9327 0.7500
Li 0.6827 0.1250 0.2500
Li 0.3750 0.3173 0.7500
Li 0.0673 0.6250 0.2500
Mg 0.2500 0.7500 0.5000
Mg 0.5000 0.5000 0.0000

=====

Record 10
VASP calculation (PBE-GGA) on LiMgBr3 after structural relaxation.

## Properties
Energy relative to the elements, uncorrected: -1.47 eV/atom
Relative energy among the computed polymorphs: 0.000 eV per atom

a b c (Å): 6.7676 6.8597 6.7881
angles (deg): 80.21 69.85 60.44
Sites, in units of the cell vectors:
Br 0.4276 0.6357 0.2447
Br 0.0632 0.3643 0.2447
Br 0.9368 0.6357 0.7553
Br 0.5724 0.3643 0.7553
Br 0.7634 0.0000 0.2410
Br 0.2366 0.0000 0.7590
Mg 0.1638 0.6724 0.0000
Mg 0.8362 0.3276 0.0000
Li 0.6646 0.6708 0.5000
Li 0.3354 0.3292 0.5000

=====

Record 11
VASP calculation (PBE-GGA) on Li2MgBr after structural relaxation.

## Properties
Energy relative to the elements, uncorrected: -0.54 eV/atom
Relative energy among the computed polymorphs: 0.071 eV per atom

a b c (Å): 3.3251 3.3251 8.1849
angles (deg): 90.00 90.00 90.00
Sites, in units of the cell vectors:
Li 0.0000 0.0000 0.5523
Li 0.0000 0.0000 0.9477
Mg 0.5000 0.5000 0.2500
Br 0.5000 0.5000 0.7500

=====

Record 12
VASP calculation (PBE-GGA) on LiMg4Br after structural relaxation.

## Properties
Energy relative to the elements, uncorrected: 0.05 eV/atom

a b c (Å): 6.0956 6.0956 6.0956
angles (deg): 60.00 60.00 60.00
Sites, in units of the cell vectors:
Mg 0.3738 0.3738 0.3738
Mg 0.8787 0.3738 0.3738
Mg 0.3738 0.8787 0.3738
Mg 0.3738 0.3738 0.8787
Br 0.7500 0.7500 0.7500
Li 0.0000 0.0000 0.0000

=====

Record 13
VASP calculation (PBE-GGA) on LiMg3Br after structural relaxation.

## Properties
Energy relative to the elements, uncorrected: 0.29 eV/atom
Relative energy among the computed polymorphs: 0.181 eV per atom

a b c (Å): 5.4189 5.4189 5.4189
angles (deg): 90.00 90.00 90.00
Sites, in units of the cell vectors:
Br 0.0000 0.0000 0.0000
Li 0.5000 0.5000 0.5000
Mg 0.5000 0.0000 0.0000
Mg 0.0000 0.5000 0.0000
Mg 0.0000 0.0000 0.5000

=====

Record 14
VASP calculation (PBE-GGA) on Li2MgBr after structural relaxation.

## Properties
Energy relative to the elements, uncorrected: -0.27 eV/atom
Relative energy among the computed polymorphs: 0.346 eV per atom

a b c (Å): 5.6161 5.6161 5.6161
angles (deg): 132.24 132.24 69.86
Sites, in units of the cell vectors:
Br 0.7500 0.2500 0.5000
Li 0.0000 0.0000 0.0000
Li 0.5000 0.5000 0.0000
Mg 0.2500 0.7500 0.5000

=====

Record 15
VASP calculation (PBE-GGA) on Li4MgBr6 after structural relaxation.

## Properties
Energy relative to the elements, uncorrected: -1.46 eV/atom

a b c (Å): 7.7307 7.6055 13.4390
angles (deg): 72.19 73.28 59.45
Sites, in units of the cell vectors:
Li 0.7760 0.1707 0.4580
Li 0.2641 0.7375 0.3028
Li 0.2787 0.9893 0.6534
Li 0.5952 0.6707 0.9580
Li 0.0786 0.4893 0.1534
Li 0.7553 0.1909 0.1572
Li 0.6956 0.2375 0.8028
Li 0.8965 0.6909 0.6572
Br 0.4644 0.0963 0.4693
Br 0.5691 0.6564 0.7643
Br 0.4065 0.5314 0.1458
Br 0.8893 0.1460 0.9588
Br 0.9162 0.0314 0.6458
Br 0.7568 0.8367 0.2001
Br 0.5094 0.5566 0.4490
Br 0.4851 0.0566 0.9490
Br 0.0102 0.1564 0.2643
Br 0.0060 0.6460 0.4588
Br 0.2064 0.3367 0.7001
Br 0.9701 0.5963 0.9693
Mg 0.6827 0.7744 0.3956
Mg 0.1474 0.2744 0.8956

=====

Record 16
VASP calculation (PBE-GGA) on Li2MgBr after structural relaxation.

## Properties
Energy relative to the elements, uncorrected: -0.55 eV/atom
Relative energy among the computed polymorphs: 0.061 eV per atom

a b c (Å): 8.6274 8.6274 3.4603
angles (deg): 78.42 78.42 22.74
Sites, in units of the cell vectors:
Mg 0.4476 0.4476 0.5515
Li 0.0768 0.0768 0.9235
Li 0.2725 0.2725 0.2277
Br 0.7031 0.7031 0.7974

=====

Record 17
VASP calculation (PBE-GGA) on LiMgBr2 after structural relaxation.

## Properties
Energy relative to the elements, uncorrected: -0.96 eV/atom
Relative energy among the computed polymorphs: 0.033 eV per atom

a b c (Å): 7.0561 7.0561 4.1003
angles (deg): 104.39 104.39 33.63
Sites, in units of the cell vectors:
Br 0.7293 0.7293 0.7252
Br 0.0186 0.0186 0.0532
Li 0.5223 0.5223 0.4979
Mg 0.2299 0.2299 0.2237

=====

Record 18
VASP calculation (PBE-GGA) on LiMgBr2 after structural relaxation.

## Properties
Energy relative to the elements, uncorrected: -0.93 eV/atom
Relative energy among the computed polymorphs: 0.069 eV per atom

a b c (Å): 3.7806 3.8139 7.7205
angles (deg): 105.30 90.00 90.00
Last column: magnetic moment on the atom in μB.
Sites, in units of the cell vectors:
Li 0.5000 0.2500 0.2500  0.01
Br 0.0000 0.6167 0.4702  0.06
Br 0.0000 0.8833 0.0298  0.06
Mg 0.5000 0.7500 0.7500  0.10

=====

Record 19
VASP calculation (PBE-GGA) on Li2MgBr4 after structural relaxation.

## Properties
Energy relative to the elements, uncorrected: -1.48 eV/atom
Relative energy among the computed polymorphs: 0.024 eV per atom

a b c (Å): 4.0464 7.0385 8.6309
angles (deg): 127.57 103.56 90.00
Sites, in units of the cell vectors:
Br 0.8699 0.1123 0.7398
Br 0.6107 0.3187 0.2214
Br 0.1301 0.8877 0.2602
Br 0.3893 0.6813 0.7786
Li 0.6732 0.7511 0.3463
Li 0.3268 0.2489 0.6537
Mg 0.0000 0.0000 0.0000

=====

Record 20
VASP calculation (PBE-GGA) on Li2Mg2Br7 after structural relaxation.

## Properties
Energy relative to the elements, uncorrected: -1.22 eV/atom

a b c (Å): 6.7739 7.3851 7.3851
angles (deg): 111.00 92.59 92.59
Last column: magnetic moment on the atom in μB.
Sites, in units of the cell vectors:
Br 0.7154 0.4031 0.0335  0.12
Br 0.7154 0.0335 0.4031  0.12
Br 0.0000 0.0000 0.0000  0.26
Br 0.2846 0.5969 0.9665  0.12
Br 0.2846 0.9665 0.5969  0.12
Br 0.7559 0.5841 0.5841  0.00
Br 0.2441 0.4159 0.4159  0.00
Li 0.5000 0.6990 0.3010  0.00
Li 0.5000 0.3010 0.6990  0.00
Mg 0.8770 0.2919 0.2919  0.00
Mg 0.1230 0.7081 0.7081  0.00

=====

Record 21
VASP calculation (PBE-GGA) on Li2MgBr4 after structural relaxation.

## Properties
Energy relative to the elements, uncorrected: -1.49 eV/atom
Relative energy among the computed polymorphs: 0.018 eV per atom

a b c (Å): 7.8258 7.8258 11.1333
angles (deg): 90.00 90.00 90.00
Sites, in units of the cell vectors:
Br 0.4927 0.7509 0.7620
Br 0.2480 0.0116 0.4917
Br 0.7509 0.5073 0.0120
Br 0.2491 0.4927 0.5120
Br 0.7509 0.4927 0.4880
Br 0.2480 0.9884 0.0083
Br 0.9884 0.2480 0.2417
Br 0.9884 0.7520 0.2583
Br 0.4927 0.2491 0.7380
Br 0.5073 0.2491 0.2620
Br 0.7520 0.0116 0.5083
Br 0.5073 0.7509 0.2380
Br 0.0116 0.2480 0.7583
Br 0.0116 0.7520 0.7417
Br 0.7520 0.9884 0.9917
Br 0.2491 0.5073 0.9880
Li 0.7495 0.0000 0.2500
Li 0.0000 0.7495 0.0000
Li 0.2505 0.0000 0.7500
Li 0.2488 0.0000 0.2500
Li 0.0000 0.7512 0.5000
Li 0.0000 0.2505 0.5000
Li 0.0000 0.2488 0.0000
Li 0.7512 0.0000 0.7500
Mg 0.5000 0.7502 0.0000
Mg 0.7502 0.5000 0.2500
Mg 0.5000 0.2498 0.5000
Mg 0.2498 0.5000 0.7500

=====

Record 22
VASP calculation (PBE-GGA) on Li2MgBr after structural relaxation.

## Properties
Energy relative to the elements, uncorrected: -0.54 eV/atom
Relative energy among the computed polymorphs: 0.073 eV per atom

a b c (Å): 3.5885 3.6174 7.6366
angles (deg): 75.93 90.00 90.00
Sites, in units of the cell vectors:
Br 0.5000 0.5029 0.8767
Li 0.5000 0.3219 0.2281
Li 0.0000 0.9595 0.9614
Mg 0.0000 0.7157 0.4338

=====

Record 23
VASP calculation (PBE-GGA) on LiMgBr2 after structural relaxation.

## Properties
Energy relative to the elements, uncorrected: -0.94 eV/atom
Relative energy among the computed polymorphs: 0.061 eV per atom

a b c (Å): 3.6881 3.6881 7.9335
angles (deg): 90.00 90.00 89.65
Sites, in units of the cell vectors:
Br 0.0000 0.0000 0.9873
Br 0.5000 0.5000 0.4008
Li 0.0000 0.0000 0.3224
Mg 0.5000 0.5000 0.7895

=====

Record 24
VASP calculation (PBE-GGA) on Li2MgBr after structural relaxation.

## Properties
Energy relative to the elements, uncorrected: -0.25 eV/atom
Relative energy among the computed polymorphs: 0.364 eV per atom

a b c (Å): 5.1759 5.1759 5.1759
angles (deg): 60.00 60.00 60.00
Sites, in units of the cell vectors:
Br 0.5000 0.5000 0.5000
Li 0.2500 0.2500 0.2500
Li 0.7500 0.7500 0.7500
Mg 0.0000 0.0000 0.0000

=====

Record 25
VASP calculation (PBE-GGA) on Li2MgBr after structural relaxation.

## Properties
Energy relative to the elements, uncorrected: -0.57 eV/atom
Relative energy among the computed polymorphs: 0.047 eV per atom

a b c (Å): 3.4163 3.4163 8.3899
angles (deg): 90.00 90.00 109.85
Sites, in units of the cell vectors:
Br 0.5000 0.5000 0.7500
Li 0.0000 0.0000 0.9518
Li 0.0000 0.0000 0.5482
Mg 0.5000 0.5000 0.2500